Entry 1:
Ni3AgPb5 | PBE | relaxed

Cell: 5.3972 5.3972 8.0397 Å, 90.00 90.00 120.00°
Space group P6/mmm (No. 191)
Symmetry-distinct sites (fractional):
Ni 0.0000 0.5000 0.0000 (multiplicity 3)
Ag 0.0000 0.0000 0.5000 (multiplicity 1)
Pb 0.0000 0.0000 0.0000 (multiplicity 1)
Pb 0.3333 0.6667 0.2918 (multiplicity 4)

Calculated values
Calculated volume = 22.5 A^3/atom
Calculated total energy = -36.67 eV/f.u.
Magnetization = 0.0 μB per cell

=====

Entry 2:
NdErHg2 | PBE | relaxed

Cell: 3.705 3.705 7.690 Å, 90.00 90.00 90.00°
Space group P4/mmm (No. 123)
Symmetry-distinct sites (fractional):
Nd 0.000 0.000 0.000 (multiplicity 1)
Er 0.000 0.000 0.500 (multiplicity 1)
Hg 0.500 0.500 0.271 (multiplicity 2)

Calculated values
Calculated volume = 26.4 A^3/atom
Energy of formation from the pure elements = -0.478 eV per atom
Calculated total energy = -11.83 eV/f.u.
Magnetization = 0.5 μB per cell

=====

Entry 3:
PuZrNb | PBE | relaxed

Cell: 6.540 6.540 6.540 Å, 90.00 90.00 90.00°
Space group F-43m (No. 216)
Symmetry-distinct sites (fractional):
Pu 0.000 0.000 0.000 (multiplicity 4)
Zr 0.000 0.000 0.500 (multiplicity 4)
Nb 0.250 0.250 0.250 (multiplicity 4)

Calculated values
Calculated volume = 23.3 A^3/atom
Energy above the most stable polymorph in this dataset = 0 meV/atom
Energy of formation from the pure elements = 0.635 eV per atom
Calculated total energy = -30.86 eV/f.u.
Magnetization = 19.0 μB per cell

=====

Entry 4:
Zn4B3 | PBE | relaxed

Cell: 7.823 2.832 8.141 Å, 90.00 102.21 90.00°
Space group Pm (No. 6)
Symmetry-distinct sites (fractional):
Zn 0.000 0.000 0.000 (multiplicity 1)
Zn 0.005 0.500 0.312 (multiplicity 1)
Zn 0.088 0.500 0.727 (multiplicity 1)
Zn 0.251 0.000 0.528 (multiplicity 1)
Zn 0.281 0.500 0.177 (multiplicity 1)
Zn 0.356 0.000 0.906 (multiplicity 1)
Zn 0.641 0.500 0.961 (multiplicity 1)
Zn 0.721 0.000 0.241 (multiplicity 1)
B 0.465 0.000 0.337 (multiplicity 1)
B 0.544 0.000 0.544 (multiplicity 1)
B 0.585 0.500 0.403 (multiplicity 1)
B 0.698 0.000 0.729 (multiplicity 1)
B 0.701 0.500 0.600 (multiplicity 1)
B 0.825 0.500 0.790 (multiplicity 1)

Calculated values
Calculated volume = 12.6 A^3/atom
Energy above the most stable polymorph in this dataset = 0 meV/atom
Calculated total energy = -23.11 eV/f.u.

=====

Entry 5:
ThTlAs | PBE | relaxed

Cell: 7.137 7.137 7.137 Å, 90.00 90.00 90.00°
Space group F-43m (No. 216)
Symmetry-distinct sites (fractional):
Th 0.000 0.000 0.000 (multiplicity 4)
Tl 0.250 0.250 0.750 (multiplicity 4)
As 0.000 0.000 0.500 (multiplicity 4)

Calculated values
Calculated volume = 30.3 A^3/atom
Calculated total energy = -13.82 eV/f.u.
Magnetization = 0.0 μB per cell

=====

Entry 6:
KTc2O4 | PBE | relaxed

Cell: 9.174 9.174 9.174 Å, 90.00 90.00 90.00°
Space group Fd-3m (No. 227, origin choice 2)
Symmetry-distinct sites (fractional):
K 0.125 0.125 0.125 (multiplicity 8)
Tc 0.000 0.000 0.500 (multiplicity 16)
O 0.025 0.025 0.725 (multiplicity 32)

Calculated values
Calculated volume = 13.8 A^3/atom
Calculated total energy = -49.97 eV/f.u.
Magnetization = 40.0 μB per cell